16
Lattice="10.597 0.000 -5.867 -3.248 10.087 -5.867 0.765 1.051 13.886" Properties=species:S:1:pos:R:3 comment="Cs9Rb6Li | Alexandria | PBE | optimized geometry" formation_enthalpy_0k_kj_per_mol_atoms=3 dos_at_fermi_per_ev_fu=16.93 magnetic_moment_mub_per_cell=0.00 pbc="T T T"
Cs 7.980 8.170 -5.793
Cs 3.674 5.043 -5.867
Rb 1.579 2.167 2.852
Cs 2.209 5.816 -0.810
Cs 5.256 1.037 6.577
Li 0.000 0.000 0.000
Cs 2.858 10.100 -4.424
Rb 6.535 8.970 -0.699
Rb -1.214 7.017 -4.660
Cs 0.134 2.968 7.946
Cs 0.783 7.252 4.331
Cs 7.332 3.886 -2.179
Rb 2.905 0.995 -2.364
Rb 8.563 3.070 -7.074
Rb 4.444 9.092 -9.369
Cs 5.905 5.321 2.962


5
Lattice="8.323 0.000 0.000 0.000 8.323 0.000 0.000 0.000 8.323" Properties=species:S:1:pos:R:3 comment="CsRb3Li | Alexandria | PBE | optimized geometry" formation_enthalpy_0k_kj_per_mol_atoms=45 polymorph_energy_ev_per_fu=1.74 dos_at_fermi_per_ev_fu=7.08 magnetic_moment_mub_per_cell=0.00 pbc="T T T"
Cs 0.000 0.000 0.000
Rb 4.162 0.000 0.000
Li 4.162 4.162 4.162
Rb 0.000 0.000 4.162
Rb 0.000 4.162 0.000


19
Lattice="9.015 0.000 -3.821 -0.865 12.717 -2.042 0.904 -0.515 14.679" Properties=species:S:1:pos:R:3 comment="Cs5Rb12Li2 | Alexandria | PBE | optimized geometry" formation_enthalpy_0k_kj_per_mol_atoms=5 dos_at_fermi_per_ev_fu=15.22 magnetic_moment_mub_per_cell=0.00 pbc="T T T"
Rb 8.558 10.132 7.648
Rb 3.529 6.431 2.271
Rb 1.730 1.521 10.680
Rb 4.470 4.065 -1.999
Rb 0.860 5.772 8.522
Cs 6.174 2.048 2.023
Cs 6.645 10.459 3.133
Rb 5.525 5.772 6.545
Cs 2.409 1.743 5.684
Rb 6.471 1.521 8.671
Rb 4.583 8.137 10.815
Rb 8.193 6.431 0.295
Rb 0.495 2.070 1.168
Cs -0.433 6.358 -1.021
Cs 2.879 10.155 6.794
Rb 2.583 10.681 0.146
Rb 7.323 10.681 -1.863
Li 3.147 0.000 -1.334
Li 5.868 0.000 -2.487


8
Lattice="6.322 0.000 0.000 0.000 6.322 0.000 3.161 3.161 15.861" Properties=species:S:1:pos:R:3 comment="CsRb2Li | Alexandria | PBE | optimized geometry" formation_enthalpy_0k_kj_per_mol_atoms=18 polymorph_energy_ev_per_fu=0.29 dos_at_fermi_per_ev_fu=3.58 magnetic_moment_mub_per_cell=0.00 pbc="T T T"
Rb 7.903 7.755 11.896
Li 3.161 6.322 7.931
Li 3.161 3.161 0.000
Rb 1.728 4.742 3.965
Cs 6.322 3.161 7.931
Rb 4.742 4.890 11.896
Cs 0.000 0.000 0.000
Rb 4.594 1.581 3.965


5
Lattice="-1.669 -2.617 6.879 -5.029 -4.744 -3.025 5.373 -5.253 -0.695" Properties=species:S:1:pos:R:3 comment="CsRb3Li | Alexandria | PBE | optimized geometry" formation_enthalpy_0k_kj_per_mol_atoms=11 polymorph_energy_ev_per_fu=0.00 dos_at_fermi_per_ev_fu=4.32 magnetic_moment_mub_per_cell=0.00 pbc="T T T"
Li 0.000 0.000 0.000
Rb -0.834 -1.308 3.439
Rb -2.515 -2.372 -1.512
Rb 2.686 -2.627 -0.348
Cs -0.663 -6.307 1.579


5
Lattice="-6.694 0.674 -1.084 0.403 -4.379 -5.207 -1.212 -5.178 4.262" Properties=species:S:1:pos:R:3 comment="CsRbLi3 | Alexandria | PBE | optimized geometry" formation_enthalpy_0k_kj_per_mol_atoms=57 polymorph_energy_ev_per_fu=0.50 dos_at_fermi_per_ev_fu=7.35 magnetic_moment_mub_per_cell=0.00 pbc="T T T"
Rb -3.752 -4.442 -1.015
Li -0.606 -2.589 2.131
Li 0.201 -2.189 -2.603
Cs 0.000 0.000 0.000
Li -3.347 0.337 -0.542